one:
The following is a DFT calculation (PBE-GGA) of an optimized crystal structure of PmTlBr4.

- Crystal system: triclinic
- V: 249.1 Å³ per cell

a b c (Å): 4.412 7.151 8.468
angles (deg): 101.16 90.00 107.79
Atoms (fractional coordinates):
Pm 0.000 0.000 0.000
Tl 0.500 0.000 0.500
Br 0.119 0.240 0.316
Br 0.383 0.763 0.096
Br 0.617 0.237 0.904
Br 0.881 0.760 0.684

two:
The following is a DFT calculation (PBE-GGA) of an optimized crystal structure of PmTlBr4.

- Crystal system: monoclinic
- V: 430.9 Å³ per cell

a b c (Å): 8.625 8.625 7.296
angles (deg): 107.84 107.84 110.04
Atoms (fractional coordinates):
Pm 0.003 0.997 0.750
Pm 0.997 0.003 0.250
Tl 0.367 0.633 0.250
Tl 0.633 0.367 0.750
Br 0.056 0.736 0.930
Br 0.209 0.334 0.701
Br 0.264 0.944 0.570
Br 0.334 0.209 0.201
Br 0.666 0.791 0.799
Br 0.736 0.056 0.430
Br 0.791 0.666 0.299
Br 0.944 0.264 0.070

Energy comparison, zero being the most stable, in kJ/mol of atoms: one 0.0; two 4.3.

one:
The following is a DFT calculation (PBE-GGA) of an optimized crystal structure of Pm2TmBr.

- Crystal system: trigonal
- V: 123.0 Å³ per cell

a b c (Å): 10.695 10.695 10.695
angles (deg): 19.81 19.81 19.81
Atoms (fractional coordinates):
Pm 0.243 0.243 0.243
Pm 0.757 0.757 0.757
Tm 0.000 0.000 0.000
Br 0.500 0.500 0.500

two:
The following is a DFT calculation (PBE-GGA) of an optimized crystal structure of Pm2TmBr.

- Crystal system: tetragonal
- V: 121.8 Å³ per cell

a b c (Å): 3.563 3.563 9.597
angles (deg): 90.00 90.00 90.00
Atoms (fractional coordinates):
Pm 0.000 0.000 0.236
Pm 0.000 0.000 0.764
Tm 0.500 0.500 0.500
Br 0.500 0.500 0.000

Energy comparison, zero being the most stable, in kJ/mol of atoms: one 0.0; two 7.2.